The following is a DFT calculation (GGA-PBE) of crystalline CdOsPt at its relaxed geometry.

Cell: 4.5983 4.5983 2.7413 Å, 90.00 90.00 120.00°
Sites, in units of the cell vectors:
Os 0.6667 0.3333 0.5000
Cd 0.0000 0.0000 0.9997
Pt 0.3333 0.6667 0.5003

Results
M_tot: 0.00 μB/cell
Mass density: 16.464 g cm⁻³
DFT formation energy: 0.420 eV per atom

The following is a DFT calculation (GGA-PBE) of crystalline Cd2OsPt at its relaxed geometry.

Cell: 7.5624 7.5624 5.9802 Å, 50.78 50.78 90.00°
Sites, in units of the cell vectors:
Pt 0.7500 0.2500 0.5000
Pt 0.0000 0.0000 0.0000
Cd 0.3750 0.3721 0.7500
Cd 0.8750 0.8779 0.7500
Cd 0.1221 0.6250 0.2500
Cd 0.6279 0.1250 0.2500
Os 0.2500 0.7500 0.5000
Os 0.5000 0.5000 0.0000

Results
M_tot: 0.00 μB/cell
Mass density: 13.235 g cm⁻³
DFT formation energy: 0.783 eV per atom

The following is a DFT calculation (GGA-PBE) of crystalline CdOs2Pt at its relaxed geometry.

Cell: 9.5808 9.5808 9.5808 Å, 16.75 16.75 16.75°
Sites, in units of the cell vectors:
Os 0.9930 0.9930 0.9930
Os 0.2537 0.2537 0.2537
Pt 0.5043 0.5043 0.5043
Cd 0.7490 0.7490 0.7490

Results
M_tot: 0.00 μB/cell
Mass density: 17.934 g cm⁻³
DFT formation energy: 0.160 eV per atom

M_tot of number 1 (CdOsPt)?
0.00 μB/cell

Which formula does entry 3 have?
CdOs2Pt